TlCd2HgSe4: relaxed, PBE.

```
TlCd2HgSe4
1.0
-2.154 3.229 -5.022
-0.643 -5.434 -3.216
-4.525 0.521 6.285
Se Tl Cd Hg
4 1 2 1
Direct
0.107 0.107 0.737
0.893 0.370 0.263
0.630 0.630 0.737
0.370 0.893 0.263
0.500 0.500 0.001
0.250 0.750 0.500
0.750 0.250 0.500
0.000 0.000 0.999
```

## Properties
The value obtained for the formation energy from raw total energies is -0.39 eV per atom. The space group is Fmm2 (42). The calculation puts the density of states at the Fermi level at 3.1 states/eV/cell. The total magnetic moment comes out at 0.0 μB/cell.

***

Sm3In3Hg: relaxed, PBE.

```
Sm3In3Hg
1.0
-2.069 4.174 -0.933
-6.042 -0.618 -1.462
-5.288 3.072 13.367
In Sm Hg
6 6 2
Direct
0.867 0.724 0.542
0.013 0.201 0.772
0.987 0.799 0.228
0.117 0.840 0.926
0.133 0.276 0.458
0.883 0.160 0.074
0.397 0.282 0.923
0.603 0.718 0.077
0.532 0.315 0.621
0.468 0.685 0.379
0.732 0.759 0.778
0.268 0.241 0.222
0.759 0.100 0.381
0.241 0.900 0.619
```

## Properties
The space group is C2/m (12). The calculation puts the density of states at the Fermi level at 11.1 states/eV/cell. As for the formation energy: -448 meV/atom. The total magnetic moment comes out at 0.0 μB/cell.

***

Na10B17C3: relaxed, PBE.

```
Na10B17C3
1.0
-0.865 -1.922 -7.601
-4.801 -3.793 -4.977
-3.255 8.474 1.162
B Na C
17 10 3
Direct
0.396 0.709 0.251
0.860 0.256 0.750
0.244 0.640 0.750
0.230 0.867 0.750
0.492 0.820 0.750
0.563 0.937 0.250
0.311 0.982 0.252
0.087 0.413 0.750
0.633 0.270 0.750
0.791 0.104 0.249
0.518 0.189 0.248
0.982 0.328 0.252
0.172 0.518 0.248
0.136 0.769 0.249
0.904 0.596 0.250
0.680 0.008 0.750
0.731 0.364 0.251
0.102 0.098 0.502
0.002 0.998 0.001
0.402 0.398 0.998
0.197 0.202 0.998
0.898 0.901 0.498
0.502 0.498 0.499
0.799 0.801 0.001
0.699 0.701 0.499
0.599 0.602 0.002
0.298 0.303 0.502
0.018 0.672 0.750
0.424 0.076 0.750
0.828 0.482 0.750
```

## Properties
Its distance to the lowest polymorph of the same formula is 30 meV per atom. The space group is C2 (5). The calculation puts the density of states at the Fermi level at 5.1 states/eV/cell. As for the formation energy: 235 meV/atom. The total magnetic moment comes out at 0.0 μB/cell.

***

Rb2UMnTe5: relaxed, PBE.

```
Rb2UMnTe5
1.0
4.459 0.000 0.000
-2.229 10.948 -0.008
0.000 -0.012 15.283
Rb Mn Te U
4 2 10 2
Direct
0.119 0.238 0.329
0.131 0.262 0.694
0.869 0.738 0.195
0.881 0.762 0.830
0.581 0.162 0.923
0.419 0.839 0.423
0.937 0.875 0.516
0.694 0.388 0.154
0.300 0.600 0.385
0.487 0.974 0.290
0.331 0.663 0.010
0.700 0.400 0.884
0.669 0.337 0.510
0.063 0.125 0.015
0.513 0.026 0.790
0.306 0.612 0.655
0.201 0.403 0.023
0.799 0.597 0.523
```

## Properties
The value obtained for the formation energy from raw total energies is -0.62 eV per atom. The space group is Cm (8). The calculation puts the density of states at the Fermi level at 13.2 states/eV/cell. The total magnetic moment comes out at 10.0 μB/cell.

***

| no. | density (g/cm3) |
| --- | --- |
| 1 | 6.154 |
| 2 | 8.321 |
| 3 | 2.273 |
| 4 | 4.906 |